Entry from Alexandria: a relaxed LaTmBi2 crystal (PBE-GGA).

Cell lengths 4.582, 4.582, 7.883 Å; angles 73.10, 73.10, 60.00 degrees
Element x y z (fractional)
Tm  0.500  0.500  0.500
Bi  0.755  0.755  0.734
Bi  0.245  0.245  0.266
La  0.000  0.000  0.000

Summary:
Energy of formation from the pure elements   -915 meV/atom
Theoretical density   8.92 g cm⁻³
Crystal system   trigonal
DOS at the Fermi energy   0.62 states/eV per cell
Total energy   -20.82 eV/cell